<P>
VASP calculation (PBE) on a relaxed structure of NaBi2Pt2.

Cell lengths 8.3726, 8.3726, 3.3223 Å; angles 90.00, 90.00, 90.00 degrees
Element x y z (fractional)
Na  0.0000  0.0000  0.0000
Na  0.5000  0.5000  0.0000
Bi  0.3533  0.8533  0.0000
Bi  0.8533  0.6467  0.0000
Bi  0.6467  0.1467  0.0000
Bi  0.1467  0.3533  0.0000
Pt  0.1473  0.6473  0.5000
Pt  0.6473  0.8527  0.5000
Pt  0.8527  0.3527  0.5000
Pt  0.3527  0.1473  0.5000

M_tot ... 0.00 μB per formula unit

<Q>
VASP calculation (PBE) on a relaxed structure of NaBi2Pt2.

Cell lengths 4.8750, 4.8750, 6.6871 Å; angles 68.62, 68.62, 90.00 degrees
Element x y z (fractional)
Na  0.0000  0.0000  0.0000
Bi  0.3601  0.3601  0.2799
Bi  0.6399  0.6399  0.7201
Pt  0.7500  0.2500  0.5000
Pt  0.2500  0.7500  0.5000

M_tot ... 0.00 μB per formula unit

Most stable pick: <Q>. Distance to second place: 0.013 eV/atom.

<P>
VASP calculation (PBE) on a relaxed structure of NaBi2Pt2.

Cell lengths 5.1227, 5.1227, 6.1158 Å; angles 65.24, 65.24, 90.00 degrees
Element x y z (fractional)
Na  0.0000  0.0000  0.0000
Bi  0.7500  0.2500  0.5000
Bi  0.2500  0.7500  0.5000
Pt  0.3666  0.3666  0.2667
Pt  0.6334  0.6334  0.7333

M_tot ... 0.00 μB per formula unit

<Q>
VASP calculation (PBE) on a relaxed structure of NaBi2Pt2.

Cell lengths 7.8701, 7.8701, 3.6892 Å; angles 90.00, 90.00, 90.00 degrees
Element x y z (fractional)
Na  0.0000  0.0000  0.0000
Na  0.5000  0.5000  0.0000
Bi  0.1644  0.6644  0.5000
Bi  0.6644  0.8356  0.5000
Bi  0.8356  0.3356  0.5000
Bi  0.3356  0.1644  0.5000
Pt  0.3680  0.8680  0.0000
Pt  0.8680  0.6320  0.0000
Pt  0.6320  0.1320  0.0000
Pt  0.1320  0.3680  0.0000

M_tot ... 0.00 μB per formula unit

<R>
VASP calculation (PBE) on a relaxed structure of NaBi2Pt2.

Cell lengths 4.6459, 5.2929, 10.5749 Å; angles 104.00, 90.00, 90.00 degrees
Element x y z (fractional)
Na  0.2500  0.8070  0.2271
Na  0.7500  0.1930  0.7729
Bi  0.2500  0.7940  0.8864
Bi  0.7500  0.2060  0.1136
Bi  0.2500  0.2644  0.5246
Bi  0.7500  0.7356  0.4754
Pt  0.2500  0.8157  0.6254
Pt  0.7500  0.1843  0.3746
Pt  0.2500  0.3422  0.0027
Pt  0.7500  0.6578  0.9973

M_tot ... 0.00 μB per formula unit

Most stable pick: <R>. Distance to second place: 0.063 eV/atom.

<P>
VASP calculation (PBE) on a relaxed structure of NaBiPt.

Cell lengths 4.7041, 4.7041, 4.7041 Å; angles 60.00, 60.00, 60.00 degrees
Element x y z (fractional)
Na  0.5000  0.5000  0.5000
Bi  0.0000  0.0000  0.0000
Pt  0.2500  0.2500  0.2500

M_tot ... 0.00 μB per formula unit

<Q>
VASP calculation (PBE) on a relaxed structure of NaBiPt.

Cell lengths 4.7092, 8.1162, 7.6176 Å; angles 90.00, 90.00, 90.00 degrees
Element x y z (fractional)
Na  0.2500  0.8203  0.4862
Na  0.7500  0.3203  0.0138
Na  0.2500  0.6797  0.9862
Na  0.7500  0.1797  0.5138
Bi  0.7500  0.9182  0.1741
Bi  0.7500  0.5818  0.6741
Bi  0.2500  0.0818  0.8259
Bi  0.2500  0.4182  0.3259
Pt  0.7500  0.5998  0.3036
Pt  0.7500  0.9002  0.8036
Pt  0.2500  0.0998  0.1964
Pt  0.2500  0.4002  0.6964

M_tot ... 0.00 μB per formula unit

<R>
VASP calculation (PBE) on a relaxed structure of NaBiPt.

Cell lengths 3.3111, 4.8458, 4.8458 Å; angles 120.00, 90.00, 90.00 degrees
Element x y z (fractional)
Na  0.6668  0.6667  0.3333
Bi  0.1667  0.3333  0.6667
Pt  0.1666  0.0000  0.0000

M_tot ... 0.00 μB per formula unit

<S>
VASP calculation (PBE) on a relaxed structure of NaBiPt.

Cell lengths 5.1174, 5.3176, 5.8596 Å; angles 98.79, 90.00, 90.00 degrees
Element x y z (fractional)
Bi  0.2500  0.8245  0.3703
Bi  0.7500  0.1755  0.6297
Pt  0.2500  0.3627  0.5343
Pt  0.7500  0.6373  0.4657
Na  0.2500  0.2616  0.0234
Na  0.7500  0.7384  0.9766

M_tot ... 0.00 μB per formula unit

Most stable pick: <Q>. Distance to second place: 0.093 eV/atom.